Entry 1:
A geometry-optimized Ac5In4Hg structure. Source: Alexandria via LeMat-Bulk, functional PBE.

E_tot = -3.6070 eV per atom
Fermi-level density of states = 1.175 states/eV/atom
energy of formation from the pure elements = -41.22 kJ per mole of atoms

Lattice parameters (Å, degrees): 4.0566 4.0566 20.8764 90.00 90.00 90.00
With the nearest neighbours (Å) after each atom.
Atoms (fractional coordinates):
Ac (0.0000, 0.0000, 0.0000)  8 In 3.55
Ac (0.0000, 0.0000, 0.2013)  8 In 3.56-3.57
Ac (0.0000, 0.0000, 0.4023)  4 Hg 3.52, 4 In 3.54
Ac (0.0000, 0.0000, 0.5977)  4 Hg 3.52, 4 In 3.54
Ac (0.0000, 0.0000, 0.7987)  8 In 3.56-3.57
In (0.5000, 0.5000, 0.1003)  8 Ac 3.55-3.56
In (0.5000, 0.5000, 0.3028)  8 Ac 3.54-3.57
In (0.5000, 0.5000, 0.6972)  8 Ac 3.54-3.57
In (0.5000, 0.5000, 0.8997)  8 Ac 3.55-3.56
Hg (0.5000, 0.5000, 0.5000)  8 Ac 3.52

=====

Entry 2:
A geometry-optimized TaMoC2 structure. Source: Alexandria via LeMat-Bulk, functional PBE.

E_tot = -9.8332 eV per atom
Fermi-level density of states = 0.473 states/eV/atom
energy of formation from the pure elements = 43.38 kJ per mole of atoms
ΔE to the lowest computed polymorph = 0.675 eV per atom

Lattice parameters (Å, degrees): 4.2794 4.2794 4.2794 138.36 105.14 89.51
With the nearest neighbours (Å) after each atom.
Atoms (fractional coordinates):
Ta (0.0000, 0.0000, 0.0000)  4 C 2.18
Mo (0.5000, 0.5000, 0.0000)  4 C 2.12
C (0.2569, 0.7569, 0.5000)  2 Mo 2.12, 2 Ta 2.18
C (0.7431, 0.2431, 0.5000)  2 Mo 2.12, 2 Ta 2.18

=====

Entry 3:
A geometry-optimized SnPdS2 structure. Source: Alexandria via LeMat-Bulk, functional PBE.

E_tot = -4.5487 eV per atom
Fermi-level density of states = 0.739 states/eV/atom
formation energy from raw total energies = -0.1860 eV per atom

Lattice parameters (Å, degrees): 6.8944 6.8944 6.8944 31.30 31.30 31.30
With the nearest neighbours (Å) after each atom.
Atoms (fractional coordinates):
Sn (0.0000, 0.0000, 0.0000)  6 S 2.87-2.91
Pd (0.1668, 0.1668, 0.1668)  6 S 2.51-2.55
S (0.5665, 0.5665, 0.5665)  3 Pd 2.51
S (0.7639, 0.7639, 0.7639)  3 Pd 2.55

=====

Entry 4:
A geometry-optimized BaCd2GaCo structure. Source: Alexandria via LeMat-Bulk, functional PBE.

E_tot = -2.9543 eV per atom
Fermi-level density of states = 0.515 states/eV/atom
energy of formation from the pure elements = -17.09 kJ per mole of atoms

Lattice parameters (Å, degrees): 5.1284 5.1284 4.7106 90.00 90.00 90.00
With the nearest neighbours (Å) after each atom.
Atoms (fractional coordinates):
Ba (0.0000, 0.0000, 0.0000)  8 Cd 3.48, 4 Ga 3.63
Cd (0.0000, 0.5000, 0.5000)  2 Co 2.56
Cd (0.5000, 0.0000, 0.5000)  2 Co 2.56
Ga (0.5000, 0.5000, 0.0000)  2 Co 2.36
Co (0.5000, 0.5000, 0.5000)  2 Ga 2.36, 4 Cd 2.56

=====

Entry 5:
A geometry-optimized TaC2Se structure. Source: Alexandria via LeMat-Bulk, functional PBE.

E_tot = -7.3608 eV per atom
Fermi-level density of states = 0.635 states/eV/atom
formation energy from raw total energies = 1.0855 eV per atom

Lattice parameters (Å, degrees): 5.9536 5.9536 5.9536 130.53 130.53 72.56
With the nearest neighbours (Å) after each atom.
Atoms (fractional coordinates):
Ta (0.0000, 0.0000, 0.0000)  4 C 2.09
Ta (0.7500, 0.2500, 0.5000)  4 C 2.09
C (0.1108, 0.6250, 0.9858)  2 Ta 2.09, 2 Se 2.17
C (0.3750, 0.3608, 0.4858)  2 Ta 2.09, 2 Se 2.17
C (0.6392, 0.1250, 0.0142)  2 Ta 2.09, 2 Se 2.17
C (0.8750, 0.8892, 0.5142)  2 Ta 2.09, 2 Se 2.17
Se (0.2500, 0.7500, 0.5000)  4 C 2.17
Se (0.5000, 0.5000, 0.0000)  4 C 2.17

=====

Entry 6:
A geometry-optimized P3IrO9 structure. Source: Alexandria via LeMat-Bulk, functional PBE.

E_tot = -7.0972 eV per atom
Fermi-level density of states = 0.000 states/eV/atom
ΔE to the lowest computed polymorph = 0.024 eV per atom
formation energy from raw total energies = -1.7346 eV per atom

Lattice parameters (Å, degrees): 7.4219 7.4219 9.5013 122.37 122.37 52.59
With the nearest neighbours (Å) after each atom.
Atoms (fractional coordinates):
P (0.0520, 0.9480, 0.5000)  4 O 1.50-1.60
P (0.2930, 0.4735, 0.5648)  4 O 1.50-1.60
P (0.4735, 0.2930, 0.0648)  4 O 1.50-1.60
P (0.5094, 0.7093, 0.4215)  4 O 1.50-1.59
P (0.7093, 0.5094, 0.9215)  4 O 1.50-1.59
P (0.9480, 0.0520, 0.0000)  4 O 1.50-1.60
Ir (0.5028, 0.9892, 0.2427)  6 O 2.04-2.07
Ir (0.9892, 0.5028, 0.7427)  6 O 2.04-2.07
O (0.0153, 0.1720, 0.6544)  1 P 1.50
O (0.1326, 0.4129, 0.5647)  1 P 1.51
O (0.1663, 0.7497, 0.5849)  2 P 1.60
O (0.1720, 0.0153, 0.1544)  1 P 1.50
O (0.2479, 0.8901, 0.4381)  2 P 1.59
O (0.3334, 0.3769, 0.9069)  1 P 1.50
O (0.3769, 0.3334, 0.4069)  1 P 1.50
O (0.4129, 0.1326, 0.0647)  1 P 1.51
O (0.4544, 0.5165, 0.2385)  2 P 1.59
O (0.5165, 0.4544, 0.7385)  2 P 1.59
O (0.6027, 0.8379, 0.4170)  1 P 1.51
O (0.6047, 0.6536, 0.0689)  1 P 1.50
O (0.6536, 0.6047, 0.5689)  1 P 1.50
O (0.7497, 0.1663, 0.0849)  2 P 1.60
O (0.8379, 0.6027, 0.9170)  1 P 1.51
O (0.8472, 0.9354, 0.3334)  1 P 1.50
O (0.8901, 0.2479, 0.9381)  2 P 1.59
O (0.9354, 0.8472, 0.8334)  1 P 1.50

=====

Entry 7:
A geometry-optimized NdDy3ThSc structure. Source: Alexandria via LeMat-Bulk, functional PBE.

E_tot = -5.3460 eV per atom
Fermi-level density of states = 1.585 states/eV/atom
energy of formation from the pure elements = 4.01 kJ per mole of atoms

Lattice parameters (Å, degrees): 7.8744 5.0213 9.9628 90.00 108.79 90.00
With the nearest neighbours (Å) after each atom.
Atoms (fractional coordinates):
Nd (0.1742, 0.2500, 0.2968)  3 Sc 3.46-3.50, 8 Dy 3.50-3.64, 1 Th 3.53
Nd (0.8258, 0.7500, 0.7032)  3 Sc 3.46-3.50, 8 Dy 3.50-3.64, 1 Th 3.53
Dy (0.1765, 0.7500, 0.0465)  1 Sc 3.43, 3 Th 3.48-3.49, 3 Nd 3.54-3.64, 5 Dy 3.58-3.65
Dy (0.1768, 0.7500, 0.5424)  1 Th 3.47, 3 Sc 3.48, 3 Nd 3.50-3.61, 5 Dy 3.52-3.64
Dy (0.1780, 0.2500, 0.7906)  1 Sc 3.42, 3 Th 3.47-3.48, 6 Dy 3.52-3.65, 2 Nd 3.63
Dy (0.8220, 0.7500, 0.2094)  1 Sc 3.42, 3 Th 3.47-3.48, 6 Dy 3.52-3.65, 2 Nd 3.63
Dy (0.8232, 0.2500, 0.4576)  1 Th 3.47, 3 Sc 3.48, 3 Nd 3.50-3.61, 5 Dy 3.52-3.64
Dy (0.8235, 0.2500, 0.9535)  1 Sc 3.43, 3 Th 3.48-3.49, 3 Nd 3.54-3.64, 5 Dy 3.58-3.65
Th (0.4984, 0.7500, 0.8759)  7 Dy 3.47-3.49, 2 Th 3.52, 1 Nd 3.53, 2 Sc 3.53
Th (0.5016, 0.2500, 0.1241)  7 Dy 3.47-3.49, 2 Th 3.52, 1 Nd 3.53, 2 Sc 3.53
Sc (0.4993, 0.2500, 0.6269)  5 Dy 3.42-3.48, 3 Nd 3.46-3.50, 2 Th 3.53, 2 Sc 3.56
Sc (0.5007, 0.7500, 0.3731)  5 Dy 3.42-3.48, 3 Nd 3.46-3.50, 2 Th 3.53, 2 Sc 3.56

=====

Entry 8:
A geometry-optimized PmPrNd2Bi4 structure. Source: Alexandria via LeMat-Bulk, functional PBE.

E_tot = -5.2735 eV per atom
Fermi-level density of states = 0.144 states/eV/atom
energy of formation from the pure elements = -91.64 kJ per mole of atoms

Lattice parameters (Å, degrees): 7.9835 4.6121 7.9837 90.00 109.46 90.00
With the nearest neighbours (Å) after each atom.
Atoms (fractional coordinates):
Pm (0.0000, 0.0000, 0.0000)  6 Bi 3.25
Pr (0.5000, 0.5000, 0.0000)  6 Bi 3.27
Nd (0.0000, 0.5000, 0.5000)  6 Bi 3.25
Nd (0.5000, 0.0000, 0.5000)  6 Bi 3.27
Bi (0.2480, 0.0000, 0.7493)  1 Pm 3.25, 3 Nd 3.25-3.27, 2 Pr 3.27
Bi (0.2481, 0.5000, 0.2495)  3 Nd 3.25-3.27, 2 Pm 3.25, 1 Pr 3.27
Bi (0.7520, 0.0000, 0.2507)  1 Pm 3.25, 3 Nd 3.25-3.27, 2 Pr 3.27
Bi (0.7519, 0.5000, 0.7505)  3 Nd 3.25-3.27, 2 Pm 3.25, 1 Pr 3.27

=====

Entry 9:
A geometry-optimized UBe2H8Pd structure. Source: Alexandria via LeMat-Bulk, functional PBE.

E_tot = -4.2471 eV per atom
Fermi-level density of states = 0.257 states/eV/atom

Lattice parameters (Å, degrees): 4.3775 4.3775 6.6251 90.00 90.00 120.00
With the nearest neighbours (Å) after each atom.
Atoms (fractional coordinates):
U (0.0000, 0.0000, 0.0000)  6 H 2.21
Be (0.3333, 0.6667, 0.2275)  4 H 1.42-1.54
Be (0.6667, 0.3333, 0.7725)  4 H 1.42-1.54
H (0.1526, 0.3053, 0.2834)  1 Be 1.42
H (0.1526, 0.8474, 0.2834)  1 Be 1.42
H (0.3053, 0.1526, 0.7166)  1 Be 1.42
H (0.3333, 0.6667, 0.9954)  1 Be 1.54
H (0.6667, 0.3333, 0.0046)  1 Be 1.54
H (0.6947, 0.8474, 0.2834)  1 Be 1.42
H (0.8474, 0.1526, 0.7166)  1 Be 1.42
H (0.8474, 0.6947, 0.7166)  1 Be 1.42
Pd (0.0000, 0.0000, 0.5000)  6 H 1.84

=====

Entry 10:
A geometry-optimized KSc2Tl structure. Source: Alexandria via LeMat-Bulk, functional PBE.

E_tot = -3.8673 eV per atom
Fermi-level density of states = 1.199 states/eV/atom
energy of formation from the pure elements = 15.86 kJ per mole of atoms
ΔE to the lowest computed polymorph = 0.062 eV per atom

Lattice parameters (Å, degrees): 11.7602 11.7602 11.7602 16.87 16.87 16.87
With the nearest neighbours (Å) after each atom.
Atoms (fractional coordinates):
K (0.0000, 0.0000, 0.0000)  6 K 3.45, 3 Tl 3.66
Sc (0.5059, 0.5059, 0.5059)  9 Sc 3.20-3.45, 3 Tl 3.21
Sc (0.7674, 0.7674, 0.7674)  9 Sc 3.20-3.45
Tl (0.2449, 0.2449, 0.2449)  3 Sc 3.21, 6 Tl 3.45

=====

Q: The highest Fermi-level density of states belongs to which entry?
A: NdDy3ThSc